Record 1
# Li2HfAg2

Li2HfAg2 after structural relaxation (PBE, Alexandria).

Values from the calculation:
Its space group is P4/mbm (127). The energy relative to the lowest polymorph listed for this composition is 0.0 meV per atom. Its density of states at the Fermi level is 0.386 states/eV/atom. The value obtained for the formation energy is -3.25 kJ per mole of atoms. As for the total energy: -3.93 eV per atom.

Cell: 7.676 7.676 2.860 Å, 90.00 90.00 90.00°
Fractional positions:
Hf 0.000 0.000 0.000
Hf 0.500 0.500 0.000
Ag 0.186 0.686 0.500
Ag 0.686 0.814 0.500
Ag 0.814 0.314 0.500
Ag 0.314 0.186 0.500
Li 0.386 0.886 0.000
Li 0.886 0.614 0.000
Li 0.614 0.114 0.000
Li 0.114 0.386 0.000

Record 2
# LiHfAg

LiHfAg after structural relaxation (PBE, Alexandria).

Values from the calculation:
Its space group is P4/nmm (129). The energy relative to the lowest polymorph listed for this composition is 0.0 meV per atom. Its density of states at the Fermi level is 0.520 states/eV/atom. The value obtained for the formation energy is -11.78 kJ per mole of atoms. As for the total energy: -5.03 eV per atom.

Cell: 3.194 3.194 10.998 Å, 90.00 90.00 90.00°
Fractional positions:
Li 0.000 0.500 0.583
Li 0.500 0.000 0.417
Hf 0.500 0.000 0.093
Hf 0.000 0.500 0.907
Ag 0.000 0.500 0.278
Ag 0.500 0.000 0.722